# 1
Computed, not measured: BePdSe after structural relaxation at the GGA-PBE level of DFT.

Results
The calculation puts the uncorrected formation energy at -0.3499 eV per atom. The symmetry is C2. As for the total magnetization: 0.00 Bohr magnetons per cell.

a b c (Å): 3.4548 3.4548 8.7266
angles (deg): 101.17 101.17 90.02
Element x y z (fractional)
Be  0.1652  0.1652  0.3249
Be  0.8348  0.8348  0.6751
Pd  0.2991  0.2993  0.6003
Pd  0.7007  0.7009  0.3997
Se  0.5863  0.0867  0.1658
Se  0.9133  0.4137  0.8342

# 2
Computed, not measured: Na2SrLi9 after structural relaxation at the GGA-PBE level of DFT.

Results
The symmetry is R-3m. As for the total magnetization: 0.00 Bohr magnetons per cell. The energy comes out at -21.14 eV for the cell shown.

a b c (Å): 10.4933 10.4933 10.4933
angles (deg): 33.67 33.67 33.67
Element x y z (fractional)
Na  0.1435  0.1435  0.1435
Na  0.8565  0.8565  0.8565
Sr  0.0000  0.0000  0.0000
Li  0.0822  0.5836  0.5836
Li  0.3337  0.3337  0.3337
Li  0.4164  0.4164  0.9178
Li  0.4164  0.9178  0.4164
Li  0.5000  0.5000  0.5000
Li  0.5836  0.0822  0.5836
Li  0.5836  0.5836  0.0822
Li  0.6663  0.6663  0.6663
Li  0.9178  0.4164  0.4164

no.,DOS(E_F) (states/eV/f.u.)
1,1.634
2,7.769